Entry 1:
! Zr3P, optimized geometry, DFT PBE-GGA; values from VASP
! **Space-group type**: No. 44
! **Theoretical density**: 6.077 g cm⁻³
! **ΔE_f**: -600 meV/atom
! **ΔE to the lowest computed polymorph**: 262.3 meV per atom
! **Crystal system**: orthorhombic
! **E_tot**: -8.364 eV per atom
&SYSTEM
  ibrav = 0, nat = 4, ntyp = 2
/
ATOMIC_SPECIES
P 30.97 P.upf
Zr 91.22 Zr.upf
CELL_PARAMETERS angstrom
1.432 1.525 4.997
-4.352 2.605 1.903
1.789 -4.840 -1.650
ATOMIC_POSITIONS crystal
P 0.067 0.000 0.067
Zr 0.410 0.500 0.910
Zr 0.040 0.696 0.345
Zr 0.649 0.304 0.345

***

Entry 2:
! Mn2CrBi, optimized geometry, DFT PBE-GGA; values from VASP
! **Space-group type**: No. 122
! **Theoretical density**: 7.972 g cm⁻³
! **ΔE_f**: 901 meV/atom
! **Crystal system**: tetragonal
! **E_tot**: -7.060 eV per atom
&SYSTEM
  ibrav = 0, nat = 8, ntyp = 3
/
ATOMIC_SPECIES
Bi 208.98 Bi.upf
Mn 54.94 Mn.upf
Cr 52.00 Cr.upf
CELL_PARAMETERS angstrom
3.934 0.000 0.000
0.000 3.934 0.000
1.967 1.967 9.984
ATOMIC_POSITIONS crystal
Bi 0.000 0.000 0.000
Mn 0.616 0.125 0.250
Cr 0.500 0.500 0.000
Mn 0.875 0.866 0.750
Cr 0.250 0.750 0.500
Mn 0.375 0.384 0.750
Bi 0.750 0.250 0.500
Mn 0.134 0.625 0.250

***

Entry 3:
! Er2Cd12Hg5, optimized geometry, DFT PBE-GGA; values from VASP
! **Space-group type**: No. 12
! **Theoretical density**: 9.040 g cm⁻³
! **ΔE_f**: 23 meV/atom
! **Crystal system**: monoclinic
! **E_tot**: -1.115 eV per atom
&SYSTEM
  ibrav = 0, nat = 19, ntyp = 3
/
ATOMIC_SPECIES
Hg 200.59 Hg.upf
Er 167.26 Er.upf
Cd 112.41 Cd.upf
CELL_PARAMETERS angstrom
-1.724 -5.202 3.693
5.990 -2.274 -6.318
5.262 3.137 6.875
ATOMIC_POSITIONS crystal
Hg 0.711 0.422 0.396
Hg 0.289 0.578 0.604
Er 0.745 0.000 0.000
Cd 0.886 0.283 0.618
Cd 0.094 0.188 0.283
Cd 0.602 0.717 0.382
Cd 0.906 0.812 0.717
Cd 0.529 0.058 0.340
Cd 0.980 0.413 0.129
Cd 0.471 0.942 0.660
Hg 0.370 0.741 0.114
Er 0.255 0.000 0.000
Cd 0.020 0.587 0.871
Cd 0.566 0.587 0.871
Hg 0.630 0.259 0.886
Cd 0.114 0.717 0.382
Cd 0.434 0.413 0.129
Hg 0.000 0.000 0.500
Cd 0.398 0.283 0.618